Pr6Sb3Te PBE relaxed; E_tot = -105.943 eV per cell; SG = Cmc2_1, No. 36; formation energy without anion corrections = -0.879 eV/atom
1.0
5.971 -7.605 0.000
5.971 7.605 0.000
0.000 0.000 7.862
Pr Sb Te
12 6 2
Direct
0.006 0.994 0.500 Pr
0.091 0.554 0.527 Pr
0.247 0.753 0.125 Pr
0.288 0.375 0.087 Pr
0.375 0.288 0.587 Pr
0.446 0.909 0.527 Pr
0.554 0.091 0.027 Pr
0.625 0.712 0.087 Pr
0.712 0.625 0.587 Pr
0.753 0.247 0.625 Pr
0.909 0.446 0.027 Pr
0.994 0.006 0.000 Pr
0.078 0.282 0.764 Sb
0.282 0.078 0.264 Sb
0.411 0.589 0.396 Sb
0.589 0.411 0.896 Sb
0.718 0.922 0.764 Sb
0.922 0.718 0.264 Sb
0.167 0.833 0.758 Te
0.833 0.167 0.258 Te